(1)
First-principles (PBE) data for crystalline Dy6Pd5Rh at its relaxed geometry, as listed in the Alexandria database.

Calculated values
space group: Cmmm
energy of formation: -0.891 eV/atom
total moment: 0.00 μB/f.u.
final energy: -5.97 eV per atom

a b c (Å): 7.851 7.851 6.894
angles (deg): 90.00 90.00 143.03
Atoms (fractional coordinates):
Dy  0.000  0.000  0.246
Dy  0.000  0.000  0.754
Dy  0.336  0.664  0.248
Dy  0.336  0.664  0.752
Dy  0.664  0.336  0.248
Dy  0.664  0.336  0.752
Pd  0.167  0.833  0.000
Pd  0.168  0.832  0.500
Pd  0.500  0.500  0.500
Pd  0.832  0.168  0.500
Pd  0.833  0.167  0.000
Rh  0.500  0.500  0.000

***

(2)
First-principles (PBE) data for crystalline Dy4PdRh3 at its relaxed geometry, as listed in the Alexandria database.

Calculated values
space group: P4/mmm
energy of formation: -0.884 eV/atom
total moment: 0.00 μB/f.u.
final energy: -6.59 eV per atom

a b c (Å): 4.844 4.844 6.968
angles (deg): 90.00 90.00 90.00
Atoms (fractional coordinates):
Dy  0.000  0.500  0.247
Dy  0.000  0.500  0.753
Dy  0.500  0.000  0.247
Dy  0.500  0.000  0.753
Pd  0.000  0.000  0.500
Rh  0.000  0.000  0.000
Rh  0.500  0.500  0.000
Rh  0.500  0.500  0.500

***

(3)
First-principles (PBE) data for crystalline Dy3PdRh8 at its relaxed geometry, as listed in the Alexandria database.

Calculated values
space group: R3m
energy of formation: -0.561 eV/atom
total moment: 0.00 μB/f.u.
final energy: -7.05 eV per atom

a b c (Å): 9.166 9.166 9.166
angles (deg): 33.48 33.48 33.48
Atoms (fractional coordinates):
Dy  0.000  0.000  0.000
Dy  0.131  0.131  0.131
Dy  0.517  0.517  0.517
Pd  0.638  0.638  0.638
Rh  0.068  0.569  0.569
Rh  0.070  0.070  0.568
Rh  0.070  0.568  0.070
Rh  0.319  0.319  0.319
Rh  0.568  0.070  0.070
Rh  0.569  0.068  0.569
Rh  0.569  0.569  0.068
Rh  0.819  0.819  0.819

***

(4)
First-principles (PBE) data for crystalline Dy11Pd9Rh4 at its relaxed geometry, as listed in the Alexandria database.

Calculated values
space group: Cmmm
energy of formation: -0.842 eV/atom
total moment: 0.00 μB/f.u.
final energy: -6.12 eV per atom

a b c (Å): 12.245 12.245 3.599
angles (deg): 90.00 90.00 111.69
Atoms (fractional coordinates):
Dy  0.000  0.000  0.000
Dy  0.074  0.414  0.000
Dy  0.179  0.821  0.000
Dy  0.264  0.264  0.000
Dy  0.374  0.626  0.000
Dy  0.414  0.074  0.000
Dy  0.586  0.926  0.000
Dy  0.626  0.374  0.000
Dy  0.736  0.736  0.000
Dy  0.821  0.179  0.000
Dy  0.926  0.586  0.000
Pd  0.032  0.204  0.500
Pd  0.150  0.623  0.500
Pd  0.204  0.032  0.500
Pd  0.377  0.850  0.500
Pd  0.500  0.500  0.500
Pd  0.623  0.150  0.500
Pd  0.796  0.968  0.500
Pd  0.850  0.377  0.500
Pd  0.968  0.796  0.500
Rh  0.255  0.435  0.500
Rh  0.435  0.255  0.500
Rh  0.565  0.745  0.500
Rh  0.745  0.565  0.500

***

(5)
First-principles (PBE) data for crystalline Dy2Pd2Rh at its relaxed geometry, as listed in the Alexandria database.

Calculated values
space group: Ibam
energy of formation: -0.666 eV/atom
total moment: 0.00 μB/f.u.
final energy: -6.05 eV per atom

a b c (Å): 7.342 7.342 7.342
angles (deg): 129.94 70.06 134.34
Atoms (fractional coordinates):
Dy  0.158  0.225  0.383
Dy  0.342  0.725  0.067
Dy  0.658  0.275  0.933
Dy  0.842  0.775  0.617
Pd  0.101  0.668  0.769
Pd  0.399  0.168  0.567
Pd  0.601  0.832  0.433
Pd  0.899  0.332  0.231
Rh  0.250  0.250  0.000
Rh  0.750  0.750  0.000

***

(6)
First-principles (PBE) data for crystalline Dy2PdRh2 at its relaxed geometry, as listed in the Alexandria database.

Calculated values
space group: Immm
energy of formation: -0.789 eV/atom
total moment: 0.00 μB/f.u.
final energy: -6.61 eV per atom

a b c (Å): 4.469 5.647 7.932
angles (deg): 90.00 90.00 90.00
Atoms (fractional coordinates):
Dy  0.000  0.000  0.207
Dy  0.000  0.000  0.793
Dy  0.500  0.500  0.293
Dy  0.500  0.500  0.707
Pd  0.000  0.500  0.000
Pd  0.500  0.000  0.500
Rh  0.000  0.270  0.500
Rh  0.000  0.730  0.500
Rh  0.500  0.230  0.000
Rh  0.500  0.770  0.000

***

Please write out number 1 again, unchanged.
First-principles (PBE) data for crystalline Dy6Pd5Rh at its relaxed geometry, as listed in the Alexandria database.

Calculated values
space group: Cmmm
energy of formation: -0.891 eV/atom
total moment: 0.00 μB/f.u.
final energy: -5.97 eV per atom

a b c (Å): 7.851 7.851 6.894
angles (deg): 90.00 90.00 143.03
Atoms (fractional coordinates):
Dy  0.000  0.000  0.246
Dy  0.000  0.000  0.754
Dy  0.336  0.664  0.248
Dy  0.336  0.664  0.752
Dy  0.664  0.336  0.248
Dy  0.664  0.336  0.752
Pd  0.167  0.833  0.000
Pd  0.168  0.832  0.500
Pd  0.500  0.500  0.500
Pd  0.832  0.168  0.500
Pd  0.833  0.167  0.000
Rh  0.500  0.500  0.000

***

- Which value of total moment does entry 1 give?
  0.00 μB/f.u.